VASP calculation (PBE with a Hubbard U) on an optimized crystal structure of Si2SbWO.

Summary:
D(E_F): 2.38 states/eV per cell
Density: 7.7 g/cm³
Total energy: -24.930 eV for the cell shown

Cell and atoms, written as POSCAR:
```
Si2SbWO
1.0
-3.1088 -2.2140 1.8030
3.0380 -3.0947 1.4379
0.5245 2.1773 3.5779
Sb Si O W
1 2 1 1
Direct
0.0000 0.5000 0.0000
0.0000 0.0000 0.5000
0.5000 0.0000 0.0000
0.0000 0.0000 0.0000
0.5000 0.5000 0.5000
```